# PBE LaAlTc, relaxed
# Volume = 25.51 A^3/atom
# Formation enthalpy at 0 K = 1.11 eV per atom
# Magnetization = 3.18 Bohr magnetons per cell
# Relative energy among the computed polymorphs = 1251 meV per atom
data_LaAlTc
_chemical_formula_sum 'La4 Al4 Tc4'
_cell_length_a 6.7398
_cell_length_b 6.7398
_cell_length_c 6.7398
_cell_angle_alpha 90.00
_cell_angle_beta 90.00
_cell_angle_gamma 90.00
_space_group_name_H-M_alt 'F -4 3 m'
_space_group_IT_number 216
_space_group_name_Hall 'F -4 2 3'
loop_
_atom_site_label
_atom_site_type_symbol
_atom_site_fract_x
_atom_site_fract_y
_atom_site_fract_z
La1 La 0.0000 0.0000 0.0000
Al1 Al 0.2500 0.2500 0.2500
Tc1 Tc 0.2500 0.2500 0.7500



# PBE LaInRh2, relaxed
# Volume = 22.85 A^3/atom
# Formation enthalpy at 0 K = -0.47 eV per atom
# Magnetization = 0.00 Bohr magnetons per cell
data_LaInRh2
_chemical_formula_sum 'La3 In3 Rh6'
_cell_length_a 4.4430
_cell_length_b 4.4430
_cell_length_c 16.0386
_cell_angle_alpha 90.00
_cell_angle_beta 90.00
_cell_angle_gamma 120.00
_space_group_name_H-M_alt 'R 3 m'
_space_group_IT_number 160
_space_group_name_Hall 'R 3 -2"'
loop_
_atom_site_label
_atom_site_type_symbol
_atom_site_fract_x
_atom_site_fract_y
_atom_site_fract_z
La1 La 0.0000 0.0000 0.0000
In1 In 0.0000 0.0000 0.2010
Rh1 Rh 0.0000 0.0000 0.4512
Rh2 Rh 0.0000 0.0000 0.7886